The following is a meta-GGA SCAN calculation of a PBEsol-optimized structure of ZrCuRu2Pb, from Alexandria.

The calculation puts the energy at -36.69 eV per atom. For the formation energy, the calculation gives 36.262 kcal/mol of atoms.

The structure belongs to space group P4/mmm (No. 123); the cell edges are 4.654, 4.654 and 5.510 Å and the angles 90.00°, 90.00° and 90.00°. The inequivalent atoms are Zr at (0.000, 0.000, 0.000), Cu at (0.500, 0.500, 0.500), Ru at (0.000, 0.500, 0.000) and Pb at (0.000, 0.000, 0.500).